# 1
# GGA-PBE LaGdPb2, relaxed
# Formation energy from the elements   -0.554 eV per atom
# Space-group type   No. 123
# Mass density   9.846 g/cm³
data_LaGdPb2
_cell_length_a 3.604
_cell_length_b 3.604
_cell_length_c 9.228
_cell_angle_alpha 90.00
_cell_angle_beta 90.00
_cell_angle_gamma 90.00
_space_group_name_H-M_alt 'P 1'
_space_group_IT_number 1
_space_group_name_Hall 'P 1'
loop_
_atom_site_label
_atom_site_type_symbol
_atom_site_fract_x
_atom_site_fract_y
_atom_site_fract_z
Pb1 Pb 0.000 0.000 0.242
Pb2 Pb 0.000 0.000 0.758
La1 La 0.500 0.500 0.500
Gd1 Gd 0.500 0.500 0.000

# 2
# GGA-PBE LaGdPb, relaxed
# E above lowest polymorph   0.000 eV/atom
# Formation energy from the elements   -0.379 eV per atom
# Space-group type   No. 107
# Mass density   8.893 g/cm³
data_LaGdPb
_cell_length_a 4.245
_cell_length_b 4.245
_cell_length_c 6.017
_cell_angle_alpha 110.66
_cell_angle_beta 110.66
_cell_angle_gamma 90.00
_space_group_name_H-M_alt 'P 1'
_space_group_IT_number 1
_space_group_name_Hall 'P 1'
loop_
_atom_site_label
_atom_site_type_symbol
_atom_site_fract_x
_atom_site_fract_y
_atom_site_fract_z
Pb1 Pb 0.944 0.944 0.889
Gd1 Gd 0.300 0.300 0.601
La1 La 0.605 0.605 0.211

# 3
# GGA-PBE LaGd2Pb, relaxed
# E above lowest polymorph   0.000 eV/atom
# Formation energy from the elements   -0.346 eV per atom
# Space-group type   No. 123
# Mass density   8.970 g/cm³
data_LaGd2Pb
_cell_length_a 4.901
_cell_length_b 4.995
_cell_length_c 4.995
_cell_angle_alpha 90.00
_cell_angle_beta 90.00
_cell_angle_gamma 90.00
_space_group_name_H-M_alt 'P 1'
_space_group_IT_number 1
_space_group_name_Hall 'P 1'
loop_
_atom_site_label
_atom_site_type_symbol
_atom_site_fract_x
_atom_site_fract_y
_atom_site_fract_z
Gd1 Gd 0.000 0.500 0.000
Gd2 Gd 0.000 0.000 0.500
Pb1 Pb 0.500 0.000 0.000
La1 La 0.500 0.500 0.500

# 4
# GGA-PBE La2GdPb, relaxed
# E above lowest polymorph   0.000 eV/atom
# Formation energy from the elements   -0.365 eV per atom
# Space-group type   No. 123
# Mass density   8.415 g/cm³
data_La2GdPb
_cell_length_a 5.048
_cell_length_b 5.011
_cell_length_c 5.011
_cell_angle_alpha 90.00
_cell_angle_beta 90.00
_cell_angle_gamma 90.00
_space_group_name_H-M_alt 'P 1'
_space_group_IT_number 1
_space_group_name_Hall 'P 1'
loop_
_atom_site_label
_atom_site_type_symbol
_atom_site_fract_x
_atom_site_fract_y
_atom_site_fract_z
La1 La 0.000 0.000 0.500
La2 La 0.000 0.500 0.000
Pb1 Pb 0.500 0.500 0.500
Gd1 Gd 0.500 0.000 0.000

# 5
# GGA-PBE La2GdPb, relaxed
# E above lowest polymorph   0.150 eV/atom
# Formation energy from the elements   -0.215 eV per atom
# Space-group type   No. 225
# Mass density   8.157 g/cm³
data_La2GdPb
_cell_length_a 5.697
_cell_length_b 5.697
_cell_length_c 5.697
_cell_angle_alpha 60.00
_cell_angle_beta 60.00
_cell_angle_gamma 60.00
_space_group_name_H-M_alt 'P 1'
_space_group_IT_number 1
_space_group_name_Hall 'P 1'
loop_
_atom_site_label
_atom_site_type_symbol
_atom_site_fract_x
_atom_site_fract_y
_atom_site_fract_z
Pb1 Pb 0.500 0.500 0.500
La1 La 0.750 0.750 0.750
La2 La 0.250 0.250 0.250
Gd1 Gd 0.000 0.000 0.000

# 6
# GGA-PBE LaGd2Pb, relaxed
# E above lowest polymorph   0.399 eV/atom
# Formation energy from the elements   0.053 eV per atom
# Space-group type   No. 166
# Mass density   8.018 g/cm³
data_LaGd2Pb
_cell_length_a 3.593
_cell_length_b 3.593
_cell_length_c 12.411
_cell_angle_alpha 81.68
_cell_angle_beta 81.68
_cell_angle_gamma 60.00
_space_group_name_H-M_alt 'P 1'
_space_group_IT_number 1
_space_group_name_Hall 'P 1'
loop_
_atom_site_label
_atom_site_type_symbol
_atom_site_fract_x
_atom_site_fract_y
_atom_site_fract_z
La1 La 0.500 0.500 0.500
Pb1 Pb 0.000 0.000 0.000
Gd1 Gd 0.913 0.913 0.262
Gd2 Gd 0.087 0.087 0.738